The following is a PBE with a Hubbard U calculation of a relaxed Fe3OF5 crystal, from Alexandria.

Distance to the lowest polymorph of the same formula: 32 meV per atom
SG: P2_1

Geometry as POSCAR:
```
Fe3OF5
1.0
5.771 0.000 0.000
0.000 4.783 0.000
-0.285 0.000 8.075
Fe O F
6 2 10
direct
0.067 0.000 0.326
0.255 0.487 0.986
0.408 0.964 0.667
0.592 0.464 0.333
0.745 0.987 0.014
0.933 0.500 0.674
0.199 0.670 0.755
0.801 0.170 0.245
0.059 0.769 0.116
0.109 0.190 0.550
0.286 0.269 0.229
0.368 0.788 0.416
0.446 0.166 0.901
0.554 0.666 0.099
0.632 0.288 0.584
0.714 0.769 0.771
0.891 0.690 0.450
0.941 0.269 0.884
```